Crystalline Tl3CdRu at its relaxed geometry, computed with PBE.

a b c (Å): 5.3288 5.3288 5.3288
angles (deg): 90.00 90.00 90.00
With the nearest neighbours (Å) after each atom.
Atoms (fractional coordinates):
1 Tl 0.0000 0.5000 0.0000  2 Ru 2.66
2 Tl 0.5000 0.0000 0.0000  2 Ru 2.66
3 Tl 0.0000 0.0000 0.5000  2 Ru 2.66
4 Cd 0.5000 0.5000 0.5000  12 Tl 3.77
5 Ru 0.0000 0.0000 0.0000  6 Tl 2.66

Summary:
Energy above the lowest structure with this stoichiometry   0.00 eV per formula unit

=====

Crystalline TlCd2Ru at its relaxed geometry, computed with PBE.

a b c (Å): 4.8033 4.8033 4.8033
angles (deg): 60.00 60.00 60.00
With the nearest neighbours (Å) after each atom.
Atoms (fractional coordinates):
1 Tl 0.7500 0.7500 0.7500  4 Ru 2.94, 4 Cd 2.94
2 Cd 0.0000 0.0000 0.0000  4 Tl 2.94, 4 Cd 2.94
3 Cd 0.2500 0.2500 0.2500  4 Cd 2.94, 4 Ru 2.94
4 Ru 0.5000 0.5000 0.5000  4 Cd 2.94, 4 Tl 2.94

Summary:
Energy above the lowest structure with this stoichiometry   0.87 eV per formula unit

=====

Crystalline TlCd2Ru at its relaxed geometry, computed with PBE.

a b c (Å): 6.8510 6.8510 6.8510
angles (deg): 154.18 140.83 47.51
With the nearest neighbours (Å) after each atom.
Atoms (fractional coordinates):
1 Cd 0.4401 0.4401 0.0000  2 Ru 2.83, 6 Cd 3.06-3.14
2 Cd 0.0599 0.0599 0.0000  2 Ru 2.83, 6 Cd 3.06-3.14
3 Tl 0.7500 0.2500 0.5000  4 Ru 2.76, 2 Tl 3.06
4 Ru 0.2500 0.7500 0.5000  4 Tl 2.76, 4 Cd 2.83, 2 Ru 3.06

Summary:
Energy above the lowest structure with this stoichiometry   0.00 eV per formula unit

=====

Crystalline TlCd2Ru at its relaxed geometry, computed with PBE.

a b c (Å): 4.1904 4.1904 4.4355
angles (deg): 90.00 90.00 90.00
With the nearest neighbours (Å) after each atom.
Atoms (fractional coordinates):
1 Cd 0.5000 0.5000 0.0000  4 Cd 2.96, 4 Tl 3.05, 4 Ru 3.05
2 Cd 0.0000 0.0000 0.0000  4 Cd 2.96, 4 Tl 3.05, 4 Ru 3.05
3 Ru 0.5000 0.0000 0.5000  4 Tl 2.96, 8 Cd 3.05
4 Tl 0.0000 0.5000 0.5000  4 Ru 2.96, 8 Cd 3.05

Summary:
Energy above the lowest structure with this stoichiometry   0.52 eV per formula unit

=====

Calculated values (μB per formula unit) of total magnetization for the records, taken in order: 0.0 0.0 0.0 0.0.
Calculated values (Å³/cell) of volume for the records, taken in order: 151 78 88 78.
Calculated values (meV/atom) of formation energy from the elements for the records, taken in order: 257.8 452.5 234.8 365.4.